(1)
A relaxed structure of Sc4AlNiN2. Source: the Open Quantum Materials Database, functional PBE.

Calculated values
ρ   4.02 Mg/m³
DFT total energy   -7.459 eV/atom
Crystal system   hexagonal

abc: 3.1849 3.1849 13.8171
angles: 90.00 90.00 120.00
Fractional positions:
1 Sc 0.0000 0.0000 0.1420
2 Sc 0.0000 0.0000 0.8580
3 Sc 0.3333 0.6667 0.3250
4 Sc 0.3333 0.6667 0.6750
5 Al 0.0000 0.0000 0.5000
6 Ni 0.3333 0.6667 0.0000
7 N 0.6667 0.3333 0.2400
8 N 0.6667 0.3333 0.7600

(2)
A relaxed structure of AlNiW4N2. Source: the Open Quantum Materials Database, functional PBE.

Calculated values
ρ   14.01 Mg/m³
DFT total energy   -9.665 eV/atom
Crystal system   hexagonal

abc: 2.8174 2.8174 14.6434
angles: 90.00 90.00 120.00
Fractional positions:
1 Al 0.0000 0.0000 0.0000
2 Ni 0.6667 0.3333 0.5000
3 W 0.0000 0.0000 0.3543
4 W 0.0000 0.0000 0.6457
5 W 0.6667 0.3333 0.1545
6 W 0.6667 0.3333 0.8455
7 N 0.3333 0.6667 0.2527
8 N 0.3333 0.6667 0.7473

(3)
A relaxed structure of Zr4AlNiN2. Source: the Open Quantum Materials Database, functional PBE.

Calculated values
ρ   6.31 Mg/m³
DFT total energy   -8.493 eV/atom
Crystal system   hexagonal

abc: 3.2563 3.2563 13.7193
angles: 90.00 90.00 120.00
Fractional positions:
1 Zr 0.0000 0.0000 0.1429
2 Zr 0.0000 0.0000 0.8571
3 Zr 0.6667 0.3333 0.3323
4 Zr 0.6667 0.3333 0.6677
5 Al 0.0000 0.0000 0.5000
6 Ni 0.6667 0.3333 0.0000
7 N 0.3333 0.6667 0.2388
8 N 0.3333 0.6667 0.7612

(4)
A relaxed structure of AlPdNO. Source: the Open Quantum Materials Database, functional PBE.

Calculated values
Relative energy among the computed polymorphs   716 meV per atom
ρ   5.73 Mg/m³
DFT total energy   -5.879 eV/atom
Crystal system   tetragonal

abc: 3.8726 3.8726 6.3146
angles: 90.00 90.00 90.00
Fractional positions:
1 Al 0.2500 0.7500 0.0000
2 Al 0.7500 0.2500 0.0000
3 Pd 0.2500 0.2500 0.3963
4 Pd 0.7500 0.7500 0.6037
5 N 0.2500 0.2500 0.9677
6 N 0.7500 0.7500 0.0323
7 O 0.2500 0.7500 0.5000
8 O 0.7500 0.2500 0.5000

(5)
A relaxed structure of AlPdNO. Source: the Open Quantum Materials Database, functional PBE.

Calculated values
Relative energy among the computed polymorphs   271 meV per atom
ρ   5.48 Mg/m³
DFT total energy   -6.323 eV/atom
Crystal system   tetragonal

abc: 3.6594 3.6594 7.3949
angles: 90.00 90.00 90.00
Fractional positions:
1 Al 0.2500 0.2500 0.0925
2 Al 0.7500 0.7500 0.9075
3 Pd 0.2500 0.7500 0.5000
4 Pd 0.7500 0.2500 0.5000
5 N 0.2500 0.2500 0.3383
6 N 0.7500 0.7500 0.6617
7 O 0.2500 0.7500 0.0000
8 O 0.7500 0.2500 0.0000

(6)
A relaxed structure of AlPdNO. Source: the Open Quantum Materials Database, functional PBE.

Calculated values
Relative energy among the computed polymorphs   0 meV per atom
ρ   5.55 Mg/m³
DFT total energy   -6.594 eV/atom
Crystal system   orthorhombic

abc: 5.2733 7.3857 5.0235
angles: 90.00 90.00 90.00
Fractional positions:
1 Al 0.0648 0.1120 0.0000
2 Al 0.4352 0.1120 0.5000
3 Al 0.5648 0.8880 0.0000
4 Al 0.9352 0.8880 0.5000
5 Pd 0.0723 0.5461 0.9108
6 Pd 0.4277 0.5461 0.4108
7 Pd 0.5723 0.4539 0.9108
8 Pd 0.9277 0.4539 0.4108
9 N 0.1007 0.6763 0.5620
10 N 0.3993 0.6763 0.0620
11 N 0.6007 0.3237 0.5620
12 N 0.8993 0.3237 0.0620
13 O 0.1365 0.0575 0.6589
14 O 0.3635 0.0575 0.1589
15 O 0.6365 0.9425 0.6589
16 O 0.8635 0.9425 0.1589

(7)
A relaxed structure of AlPdNO. Source: the Open Quantum Materials Database, functional PBE.

Calculated values
Relative energy among the computed polymorphs   101 meV per atom
ρ   5.67 Mg/m³
DFT total energy   -6.493 eV/atom
Crystal system   orthorhombic

abc: 3.1951 6.1819 4.8453
angles: 90.00 90.00 90.00
Fractional positions:
1 Al 0.0000 0.1490 0.0000
2 Al 0.0000 0.8510 0.5000
3 Pd 0.5000 0.4022 0.5105
4 Pd 0.5000 0.5978 0.0105
5 N 0.5000 0.2856 0.8978
6 N 0.5000 0.7144 0.3978
7 O 0.0000 0.1156 0.3615
8 O 0.0000 0.8844 0.8615

(8)
A relaxed structure of AlPdNO. Source: the Open Quantum Materials Database, functional PBE.

Calculated values
Relative energy among the computed polymorphs   709 meV per atom
ρ   5.91 Mg/m³
DFT total energy   -5.885 eV/atom
Crystal system   tetragonal

abc: 3.9337 3.9337 5.9359
angles: 90.00 90.00 90.00
Fractional positions:
1 Al 0.2500 0.7500 0.0000
2 Al 0.7500 0.2500 0.0000
3 Pd 0.2500 0.2500 0.3889
4 Pd 0.7500 0.7500 0.6111
5 N 0.2500 0.2500 0.9742
6 N 0.7500 0.7500 0.0258
7 O 0.2500 0.7500 0.5000
8 O 0.7500 0.2500 0.5000

(9)
A relaxed structure of AlPdNO. Source: the Open Quantum Materials Database, functional PBE.

Calculated values
Relative energy among the computed polymorphs   170 meV per atom
ρ   5.73 Mg/m³
DFT total energy   -6.425 eV/atom
Crystal system   monoclinic

abc: 3.3992 2.9351 4.7496
angles: 90.00 91.10 90.00
Fractional positions:
1 Al 0.0000 0.0000 0.0000
2 Pd 0.3589 0.5000 0.4418
3 N 0.5076 0.0000 0.1729
4 O 0.9856 0.5000 0.7938

(10)
A relaxed structure of AlPdNO. Source: the Open Quantum Materials Database, functional PBE.

Calculated values
Relative energy among the computed polymorphs   171 meV per atom
ρ   5.65 Mg/m³
DFT total energy   -6.423 eV/atom
Crystal system   orthorhombic

abc: 2.9333 5.8487 5.6011
angles: 90.00 90.00 90.00
Fractional positions:
1 Al 0.0000 0.1070 0.0000
2 Al 0.0000 0.8930 0.5000
3 Pd 0.5000 0.4102 0.6303
4 Pd 0.5000 0.5898 0.1303
5 N 0.0000 0.1717 0.6671
6 N 0.0000 0.8283 0.1671
7 O 0.5000 0.2229 0.1243
8 O 0.5000 0.7771 0.6243

(11)
A relaxed structure of AlPtNO. Source: the Open Quantum Materials Database, functional PBE.

Calculated values
Relative energy among the computed polymorphs   224 meV per atom
ρ   8.49 Mg/m³
DFT total energy   -6.598 eV/atom
Crystal system   orthorhombic

abc: 2.8717 5.8589 5.8587
angles: 90.00 90.00 90.00
Fractional positions:
1 Al 0.0000 0.1194 0.0000
2 Al 0.0000 0.8806 0.5000
3 Pt 0.5000 0.3947 0.3725
4 Pt 0.5000 0.6053 0.8725
5 N 0.0000 0.1524 0.3265
6 N 0.0000 0.8476 0.8265
7 O 0.5000 0.2460 0.8821
8 O 0.5000 0.7540 0.3821

(12)
A relaxed structure of AlPtNO. Source: the Open Quantum Materials Database, functional PBE.

Calculated values
Relative energy among the computed polymorphs   910 meV per atom
ρ   8.26 Mg/m³
DFT total energy   -5.912 eV/atom
Crystal system   tetragonal

abc: 3.9046 3.9046 6.6461
angles: 90.00 90.00 90.00
Fractional positions:
1 Al 0.2500 0.7500 0.0000
2 Al 0.7500 0.2500 0.0000
3 Pt 0.2500 0.2500 0.4075
4 Pt 0.7500 0.7500 0.5925
5 N 0.2500 0.2500 0.9527
6 N 0.7500 0.7500 0.0473
7 O 0.2500 0.7500 0.5000
8 O 0.7500 0.2500 0.5000

(13)
A relaxed structure of AlPtNO. Source: the Open Quantum Materials Database, functional PBE.

Calculated values
Relative energy among the computed polymorphs   423 meV per atom
ρ   8.15 Mg/m³
DFT total energy   -6.399 eV/atom
Crystal system   tetragonal

abc: 3.6619 3.6619 7.6617
angles: 90.00 90.00 90.00
Fractional positions:
1 Al 0.2500 0.2500 0.0896
2 Al 0.7500 0.7500 0.9104
3 Pt 0.2500 0.7500 0.5000
4 Pt 0.7500 0.2500 0.5000
5 N 0.2500 0.2500 0.3290
6 N 0.7500 0.7500 0.6710
7 O 0.2500 0.7500 0.0000
8 O 0.7500 0.2500 0.0000

(14)
A relaxed structure of AlPtNO. Source: the Open Quantum Materials Database, functional PBE.

Calculated values
Relative energy among the computed polymorphs   175 meV per atom
ρ   8.60 Mg/m³
DFT total energy   -6.647 eV/atom
Crystal system   orthorhombic

abc: 3.1421 6.2860 4.9302
angles: 90.00 90.00 90.00
Fractional positions:
1 Al 0.0000 0.1431 0.0000
2 Al 0.0000 0.8569 0.5000
3 Pt 0.5000 0.4176 0.5226
4 Pt 0.5000 0.5824 0.0226
5 N 0.5000 0.2779 0.8892
6 N 0.5000 0.7221 0.3892
7 O 0.0000 0.1146 0.3553
8 O 0.0000 0.8854 0.8553

(15)
A relaxed structure of AlPtNO. Source: the Open Quantum Materials Database, functional PBE.

Calculated values
Relative energy among the computed polymorphs   0 meV per atom
ρ   8.47 Mg/m³
DFT total energy   -6.822 eV/atom
Crystal system   orthorhombic

abc: 5.3118 7.3346 5.0736
angles: 90.00 90.00 90.00
Fractional positions:
1 Al 0.0646 0.1110 0.0000
2 Al 0.4354 0.1110 0.5000
3 Al 0.5646 0.8890 0.0000
4 Al 0.9354 0.8890 0.5000
5 Pt 0.0627 0.5457 0.8831
6 Pt 0.4373 0.5457 0.3831
7 Pt 0.5627 0.4543 0.8831
8 Pt 0.9373 0.4543 0.3831
9 N 0.1139 0.6770 0.5366
10 N 0.3861 0.6770 0.0366
11 N 0.6139 0.3230 0.5366
12 N 0.8861 0.3230 0.0366
13 O 0.1424 0.0533 0.6642
14 O 0.3576 0.0533 0.1642
15 O 0.6424 0.9467 0.6642
16 O 0.8576 0.9467 0.1642

(16)
A relaxed structure of AlReNO. Source: the Open Quantum Materials Database, functional PBE.

Calculated values
Relative energy among the computed polymorphs   345 meV per atom
ρ   9.39 Mg/m³
DFT total energy   -8.283 eV/atom
Crystal system   orthorhombic

abc: 2.9632 5.8824 4.9347
angles: 90.00 90.00 90.00
Fractional positions:
1 Al 0.0000 0.1317 0.0000
2 Al 0.0000 0.8683 0.5000
3 Re 0.5000 0.4138 0.5632
4 Re 0.5000 0.5862 0.0632
5 N 0.0000 0.1659 0.6278
6 N 0.0000 0.8341 0.1278
7 O 0.5000 0.2398 0.1568
8 O 0.5000 0.7602 0.6568

(17)
A relaxed structure of AlReNO. Source: the Open Quantum Materials Database, functional PBE.

Calculated values
Relative energy among the computed polymorphs   0 meV per atom
ρ   8.39 Mg/m³
DFT total energy   -8.628 eV/atom
Crystal system   orthorhombic

abc: 5.2240 7.5829 4.8628
angles: 90.00 90.00 90.00
Fractional positions:
1 Al 0.0708 0.1160 0.0000
2 Al 0.4292 0.1160 0.5000
3 Al 0.5708 0.8840 0.0000
4 Al 0.9292 0.8840 0.5000
5 Re 0.1165 0.5307 0.9250
6 Re 0.3835 0.5307 0.4250
7 Re 0.6165 0.4693 0.9250
8 Re 0.8835 0.4693 0.4250
9 N 0.0914 0.6800 0.5839
10 N 0.4086 0.6800 0.0839
11 N 0.5914 0.3200 0.5839
12 N 0.9086 0.3200 0.0839
13 O 0.1257 0.0586 0.6483
14 O 0.3743 0.0586 0.1483
15 O 0.6257 0.9414 0.6483
16 O 0.8743 0.9414 0.1483

(18)
A relaxed structure of AlReNO. Source: the Open Quantum Materials Database, functional PBE.

Calculated values
Relative energy among the computed polymorphs   358 meV per atom
ρ   9.28 Mg/m³
DFT total energy   -8.270 eV/atom
Crystal system   orthorhombic

abc: 3.0113 5.8252 4.9617
angles: 90.00 90.00 90.00
Fractional positions:
1 Al 0.0000 0.1558 0.0000
2 Al 0.0000 0.8442 0.5000
3 Re 0.5000 0.4147 0.4563
4 Re 0.5000 0.5853 0.9563
5 N 0.5000 0.2562 0.8315
6 N 0.5000 0.7438 0.3315
7 O 0.0000 0.1436 0.3665
8 O 0.0000 0.8564 0.8665

(19)
A relaxed structure of AlReNO. Source: the Open Quantum Materials Database, functional PBE.

Calculated values
Relative energy among the computed polymorphs   1438 meV per atom
ρ   8.13 Mg/m³
DFT total energy   -7.190 eV/atom
Crystal system   tetragonal

abc: 3.7072 3.7072 7.2313
angles: 90.00 90.00 90.00
Fractional positions:
1 Al 0.2500 0.7500 0.0000
2 Al 0.7500 0.2500 0.0000
3 Re 0.2500 0.2500 0.3810
4 Re 0.7500 0.7500 0.6190
5 N 0.2500 0.2500 0.9425
6 N 0.7500 0.7500 0.0575
7 O 0.2500 0.7500 0.5000
8 O 0.7500 0.2500 0.5000

(20)
A relaxed structure of AlReNO. Source: the Open Quantum Materials Database, functional PBE.

Calculated values
Relative energy among the computed polymorphs   570 meV per atom
ρ   9.47 Mg/m³
DFT total energy   -8.058 eV/atom
Crystal system   tetragonal

abc: 3.6654 3.6654 6.3461
angles: 90.00 90.00 90.00
Fractional positions:
1 Al 0.2500 0.2500 0.1050
2 Al 0.7500 0.7500 0.8950
3 Re 0.2500 0.7500 0.5000
4 Re 0.7500 0.2500 0.5000
5 N 0.2500 0.2500 0.6635
6 N 0.7500 0.7500 0.3365
7 O 0.2500 0.7500 0.0000
8 O 0.7500 0.2500 0.0000